[1]
A relaxed KSrTe2N crystal. Source: Alexandria, functional GGA-PBE.

The space group is P4/mmm (No. 123) and the conventional cell measures 6.425, 6.425 and 5.028 Å, with angles of 90.00, 90.00 and 90.00 degrees. The inequivalent atoms are K at (0.000, 0.000, 0.000), Sr at (0.500, 0.500, 0.500), Te at (0.000, 0.500, 0.500) and N at (0.500, 0.500, 0.000).

As for the polymorph energy (0 for the lowest one): 0 meV/atom. The formation energy without anion corrections is 0.150 eV per atom.

[2]
A relaxed Hf3NiBi2 crystal. Source: Alexandria, functional GGA-PBE.

The space group is Pnma (No. 62) and the conventional cell measures 11.942, 3.986 and 10.980 Å, with angles of 90.00, 90.00 and 90.00 degrees. The inequivalent atoms are Hf at (0.076, 0.250, 0.089), Hf at (0.113, 0.750, 0.528), Hf at (0.227, 0.750, 0.231), Ni at (0.092, 0.250, 0.362), Bi at (0.025, 0.250, 0.724) and Bi at (0.199, 0.750, 0.941).

The calculation puts the formation energy at -0.150 eV per atom.